Record 1
Sr6LiIn5: relaxed, PBE-GGA.

Computed properties:
Energy of formation ... -431.7 kJ/mol of formula units
Total DFT energy (no corrections) ... -60.34 eV for the cell shown
N(E_F) ... 0.772 states/eV/atom

a = 5.7382 Å, b = 17.2351 Å, c = 8.2578 Å
α = 90.00°, β = 90.00°, γ = 90.00°
With the nearest neighbours (Å) after each atom.
Space group Cmmm (No. 65)
Symmetry-distinct sites (fractional):
Sr 0.0000 0.0000 0.2441  6 In 3.50-3.53, 2 Li 3.56
Sr 0.0000 0.3314 0.2481  7 In 3.51-3.56, 1 Li 3.57
Li 0.0000 0.5000 0.5000  8 Sr 3.56-3.57
In 0.0000 0.1642 0.5000  8 Sr 3.53-3.56
In 0.0000 0.1659 0.0000  8 Sr 3.50-3.53
In 0.0000 0.5000 0.0000  8 Sr 3.51-3.55

***

Record 2
Sr2Li3In5: relaxed, PBE-GGA.

Computed properties:
Energy of formation ... -294.5 kJ/mol of formula units
Total DFT energy (no corrections) ... -103.40 eV for the cell shown
N(E_F) ... 0.460 states/eV/atom

a = 11.5552 Å, b = 14.3003 Å, c = 6.3823 Å
α = 90.00°, β = 90.00°, γ = 90.00°
With the nearest neighbours (Å) after each atom.
Space group Ibam (No. 72)
Symmetry-distinct sites (fractional):
Sr 0.2251 0.1427 0.0000  10 In 3.45-3.81, 4 Li 3.58-3.72
Li 0.0000 0.5000 0.2500  6 In 2.92-2.94, 2 Li 3.19
Li 0.0857 0.1467 0.5000  5 In 2.82-2.84
In 0.0000 0.0000 0.2500  4 Li 2.82
In 0.0000 0.2955 0.2500  3 Li 2.84-2.92, 2 In 3.06
In 0.1797 0.4068 0.0000  3 Li 2.82-2.94, 2 In 3.06

***

Record 3
SrLi2In4: relaxed, PBE-GGA.

Computed properties:
Energy of formation ... -170.4 kJ/mol of formula units
Total DFT energy (no corrections) ... -36.46 eV for the cell shown
N(E_F) ... 0.453 states/eV/atom

a = 3.3405 Å, b = 4.9559 Å, c = 21.4650 Å
α = 90.00°, β = 90.00°, γ = 90.00°
With the nearest neighbours (Å) after each atom.
Space group Immm (No. 71)
Symmetry-distinct sites (fractional):
Sr 0.0000 0.0000 0.0000  2 Sr 3.34, 8 In 3.47
Li 0.0000 0.5000 0.2054  7 In 2.91-3.15
In 0.0000 0.0000 0.4181  2 In 2.98, 2 Li 3.13
In 0.0000 0.5000 0.3410  5 Li 2.91-3.15, 2 In 2.98

***

Record 4
SrLi2In: relaxed, PBE-GGA.

Computed properties:
Energy of formation ... 6.3 kJ/mol of formula units
Total DFT energy (no corrections) ... -16.37 eV for the cell shown
N(E_F) ... 0.787 states/eV/atom

a = 3.6788 Å, b = 5.5954 Å, c = 12.5901 Å
α = 90.00°, β = 90.00°, γ = 90.00°
With the nearest neighbours (Å) after each atom.
Space group Immm (No. 71)
Symmetry-distinct sites (fractional):
Sr 0.0000 0.0000 0.0000  4 In 3.35, 2 Li 3.54, 2 Sr 3.68
Li 0.0000 0.0000 0.2812  1 In 2.75
In 0.0000 0.0000 0.5000  2 Li 2.75

***

Record 5
SrLi3In: relaxed, PBE-GGA.

Computed properties:
Energy of formation ... 381.4 kJ/mol of formula units
Total DFT energy (no corrections) ... -6.21 eV for the cell shown
N(E_F) ... 0.610 states/eV/atom

a = 5.7517 Å, b = 5.7517 Å, c = 5.7517 Å
α = 90.00°, β = 90.00°, γ = 90.00°
With the nearest neighbours (Å) after each atom.
Space group Pm-3m (No. 221)
Symmetry-distinct sites (fractional):
Sr 0.0000 0.0000 0.0000  6 Li 2.88
Li 0.0000 0.0000 0.5000  2 Sr 2.88
In 0.5000 0.5000 0.5000  12 Li 4.07

***

Record 6
SrLi2In: relaxed, PBE-GGA.

Computed properties:
Energy of formation ... -34.1 kJ/mol of formula units
Total DFT energy (no corrections) ... -8.60 eV for the cell shown
N(E_F) ... 0.854 states/eV/atom

a = 4.7504 Å, b = 4.9012 Å, c = 4.9195 Å
α = 90.00°, β = 90.00°, γ = 90.00°
With the nearest neighbours (Å) after each atom.
Space group Pmmm (No. 47)
Symmetry-distinct sites (fractional):
Sr 0.0000 0.0000 0.0000  8 Li 3.41-3.42, 4 In 3.47
Li 0.5000 0.0000 0.5000  4 In 3.41, 4 Sr 3.42, 4 Li 3.47
Li 0.5000 0.5000 0.0000  4 Sr 3.41, 4 In 3.42, 4 Li 3.47
In 0.0000 0.5000 0.5000  8 Li 3.41-3.42, 4 Sr 3.47

***

Record 7
SrLiIn2: relaxed, PBE-GGA.

Computed properties:
Energy of formation ... -104.6 kJ/mol of formula units
Total DFT energy (no corrections) ... -20.31 eV for the cell shown
N(E_F) ... 0.500 states/eV/atom

a = 5.3075 Å, b = 5.3225 Å, c = 7.5427 Å
α = 90.00°, β = 90.00°, γ = 90.00°
With the nearest neighbours (Å) after each atom.
Space group Imm2 (No. 44)
Symmetry-distinct sites (fractional):
Sr 0.0000 0.0000 0.0000  4 In 3.26, 4 Li 3.26
Li 0.0000 0.5000 0.7507  4 In 3.25-3.27, 4 Sr 3.26
In 0.0000 0.0000 0.4998  4 Li 3.25-3.27, 4 In 3.25-3.26
In 0.0000 0.5000 0.2494  4 In 3.25-3.26, 4 Sr 3.26

***

Record 8
Sr3Li4In4: relaxed, PBE-GGA.

Computed properties:
Energy of formation ... -292.1 kJ/mol of formula units
Total DFT energy (no corrections) ... -26.68 eV for the cell shown
N(E_F) ... 0.762 states/eV/atom

a = 4.1010 Å, b = 5.0593 Å, c = 15.4940 Å
α = 99.37°, β = 97.55°, γ = 90.02°
With the nearest neighbours (Å) after each atom.
Space group P-1 (No. 2)
Symmetry-distinct sites (fractional):
Sr 0.0000 0.0000 0.0000  4 Li 3.56-3.57, 8 In 3.59
Sr 0.1467 0.6457 0.2927  6 In 3.53-3.58, 6 Li 3.58-3.59
Li 0.2576 0.2568 0.5138  4 In 2.85-2.98
Li 0.4034 0.9041 0.8075  3 In 2.88-2.90
In 0.3081 0.8090 0.6172  5 Li 2.85-2.98
In 0.4508 0.4505 0.9005  2 Li 2.90, 1 In 3.01

***

Record 9
SrLiIn4: relaxed, PBE-GGA.

Computed properties:
Energy of formation ... -174.8 kJ/mol of formula units
Total DFT energy (no corrections) ... -32.72 eV for the cell shown
N(E_F) ... 0.297 states/eV/atom

a = 10.1374 Å, b = 7.8307 Å, c = 4.7401 Å
α = 90.00°, β = 117.79°, γ = 90.00°
With the nearest neighbours (Å) after each atom.
Space group C2/m (No. 12)
Symmetry-distinct sites (fractional):
Sr 0.0000 0.0000 0.0000  12 In 3.40-3.66
Li 0.0000 0.5000 0.0000  8 In 3.18
In 0.1623 0.3040 0.6622  4 In 2.91-3.07, 2 Li 3.18

***

Record 10
Sr2Li17In3: relaxed, PBE-GGA.

Computed properties:
Energy of formation ... -32.7 kJ/mol of formula units
Total DFT energy (no corrections) ... -133.36 eV for the cell shown
N(E_F) ... 0.594 states/eV/atom

a = 11.0966 Å, b = 11.0966 Å, c = 15.1490 Å
α = 90.00°, β = 90.00°, γ = 120.00°
With the nearest neighbours (Å) after each atom.
Space group R-3m (No. 166, hexagonal axes)
Symmetry-distinct sites (fractional):
Sr 0.0000 0.0000 0.1822  3 In 3.21, 1 Li 3.45
Li 0.0000 0.0000 0.4101  1 Li 2.72
Li 0.0000 0.2552 0.5000  1 In 2.72, 6 Li 2.83-2.99
Li 0.0000 0.5000 0.0000  8 Li 2.99-3.34
Li 0.0259 0.5129 0.6830  1 In 2.78, 4 Li 2.86-3.00
In 0.0000 0.5000 0.5000  4 Li 2.72-2.78

***

Record 11
Sr3Li4In4: relaxed, PBE-GGA.

Computed properties:
Energy of formation ... -282.6 kJ/mol of formula units
Total DFT energy (no corrections) ... -53.17 eV for the cell shown
N(E_F) ... 0.751 states/eV/atom

a = 8.4609 Å, b = 8.4609 Å, c = 8.4609 Å
α = 90.00°, β = 90.00°, γ = 90.00°
With the nearest neighbours (Å) after each atom.
Space group I-43m (No. 217)
Symmetry-distinct sites (fractional):
Sr 0.0000 0.0000 0.5000  4 In 3.50, 4 Li 3.53
Li 0.1156 0.1156 0.1156  4 In 2.62-2.92, 3 Li 2.77
In 0.2054 0.2054 0.7946  4 Li 2.62-2.92

***

Record 12
Sr2Li3In: relaxed, PBE-GGA.

Computed properties:
Energy of formation ... -92.4 kJ/mol of formula units
Total DFT energy (no corrections) ... -25.60 eV for the cell shown
N(E_F) ... 0.666 states/eV/atom

a = 10.8466 Å, b = 6.2851 Å, c = 6.4002 Å
α = 90.00°, β = 125.34°, γ = 90.00°
With the nearest neighbours (Å) after each atom.
Space group C2/m (No. 12)
Symmetry-distinct sites (fractional):
Sr 0.1260 0.0000 0.3793  3 In 3.66-3.68, 9 Li 3.68-3.74, 4 Sr 3.83-3.96
Li 0.0000 0.5000 0.0000  4 Li 3.13, 2 In 3.20
Li 0.2500 0.2500 0.0000  4 Li 3.13-3.14, 2 In 3.17
In 0.0000 0.5000 0.5000  6 Li 3.17-3.20

***

Record 13
SrLiIn6: relaxed, PBE-GGA.

Computed properties:
Energy of formation ... -153.9 kJ/mol of formula units
Total DFT energy (no corrections) ... -21.62 eV for the cell shown
N(E_F) ... 0.360 states/eV/atom

a = 4.9864 Å, b = 4.9864 Å, c = 8.8962 Å
α = 90.00°, β = 90.00°, γ = 90.00°
With the nearest neighbours (Å) after each atom.
Space group P4/mmm (No. 123)
Symmetry-distinct sites (fractional):
Sr 0.0000 0.0000 0.0000  16 In 3.79-3.87
Li 0.0000 0.0000 0.5000  8 In 2.90
In 0.0000 0.5000 0.3327  2 Li 2.90, 3 In 2.95-2.98
In 0.5000 0.5000 0.1562  5 In 2.78-2.95

***

Record 14
SrLiIn2: relaxed, PBE-GGA.

Computed properties:
Energy of formation ... -70.0 kJ/mol of formula units
Total DFT energy (no corrections) ... -19.60 eV for the cell shown
N(E_F) ... 0.311 states/eV/atom

a = 5.9232 Å, b = 7.8924 Å, c = 4.8769 Å
α = 90.00°, β = 90.00°, γ = 90.00°
With the nearest neighbours (Å) after each atom.
Space group Cmmm (No. 65)
Symmetry-distinct sites (fractional):
Sr 0.0000 0.0000 0.0000  2 Li 2.96
Li 0.0000 0.5000 0.0000  4 In 2.84, 2 Sr 2.96
In 0.0000 0.3155 0.5000  2 Li 2.84, 3 In 2.91-3.14

***

Record 15
SrLi2In4: relaxed, PBE-GGA.

Computed properties:
Energy of formation ... -219.0 kJ/mol of formula units
Total DFT energy (no corrections) ... -37.47 eV for the cell shown
N(E_F) ... 0.334 states/eV/atom

a = 7.8559 Å, b = 7.8559 Å, c = 5.6409 Å
α = 90.00°, β = 90.00°, γ = 90.00°
With the nearest neighbours (Å) after each atom.
Space group I4/mmm (No. 139)
Symmetry-distinct sites (fractional):
Sr 0.0000 0.0000 0.0000  12 In 3.40-3.55
Li 0.0000 0.5000 0.2500  2 Li 2.82
In 0.1938 0.1938 0.5000  4 In 3.04-3.08, 4 Li 3.18, 1 Sr 3.40

***

Record 16
SrLiIn2: relaxed, PBE-GGA.

Computed properties:
Energy of formation ... -139.8 kJ/mol of formula units
Total DFT energy (no corrections) ... -42.08 eV for the cell shown
N(E_F) ... 0.430 states/eV/atom

a = 8.6505 Å, b = 7.9095 Å, c = 6.2803 Å
α = 90.00°, β = 90.00°, γ = 90.00°
With the nearest neighbours (Å) after each atom.
Space group Pnma (No. 62)
Symmetry-distinct sites (fractional):
Sr 0.0297 0.2500 0.1245  3 Li 3.34-3.46, 8 In 3.48-3.69
Li 0.1163 0.7500 0.3684  6 In 2.84-2.98
In 0.1766 0.0540 0.5932  3 Li 2.84-2.98, 1 In 3.10

***

Record 17
SrLi2In: relaxed, PBE-GGA.

Computed properties:
Energy of formation ... -17.7 kJ/mol of formula units
Total DFT energy (no corrections) ... -16.86 eV for the cell shown
N(E_F) ... 0.470 states/eV/atom

a = 6.7069 Å, b = 10.6838 Å, c = 3.6536 Å
α = 90.00°, β = 118.85°, γ = 90.00°
With the nearest neighbours (Å) after each atom.
Space group C2/m (No. 12)
Symmetry-distinct sites (fractional):
Sr 0.0000 0.0000 0.0000  4 Li 3.21, 4 In 3.35-3.57
Li 0.2500 0.2500 0.5000  2 In 3.21, 2 Sr 3.21, 4 Li 3.35-3.57
In 0.0000 0.5000 0.0000  4 Li 3.21, 4 Sr 3.35-3.57

***

Record 18
Sr3LiIn12: relaxed, PBE-GGA.

Computed properties:
Energy of formation ... -396.1 kJ/mol of formula units
Total DFT energy (no corrections) ... -43.93 eV for the cell shown
N(E_F) ... 0.593 states/eV/atom

a = 4.8435 Å, b = 4.8435 Å, c = 18.7639 Å
α = 90.00°, β = 90.00°, γ = 90.00°
With the nearest neighbours (Å) after each atom.
Space group P4/mmm (No. 123)
Symmetry-distinct sites (fractional):
Sr 0.0000 0.0000 0.0000  12 In 3.42-3.43
Sr 0.0000 0.0000 0.2611  12 In 3.43-3.46
Li 0.0000 0.0000 0.5000  12 In 3.17-3.42
In 0.0000 0.5000 0.1297  8 In 3.36-3.43, 4 Sr 3.43-3.46
In 0.0000 0.5000 0.3909  8 In 3.17-3.53, 2 Li 3.17, 2 Sr 3.43
In 0.5000 0.5000 0.0000  4 Sr 3.42, 8 In 3.43
In 0.5000 0.5000 0.2540  8 In 3.36-3.53, 4 Sr 3.43
In 0.5000 0.5000 0.5000  8 In 3.17, 4 Li 3.42

***

Record 19
SrLi2In8: relaxed, PBE-GGA.

Computed properties:
Energy of formation ... 33.2 kJ/mol of formula units
Total DFT energy (no corrections) ... -27.07 eV for the cell shown
N(E_F) ... 0.524 states/eV/atom

a = 6.3012 Å, b = 6.3012 Å, c = 8.7992 Å
α = 90.00°, β = 90.00°, γ = 90.00°
With the nearest neighbours (Å) after each atom.
Space group P4/mmm (No. 123)
Symmetry-distinct sites (fractional):
Sr 0.0000 0.0000 0.0000  8 In 3.51
Li 0.0000 0.5000 0.5000  8 In 2.80
In 0.2530 0.2530 0.3064  2 Li 2.80, 2 In 3.11

***

Record 20
SrLiIn: relaxed, PBE-GGA.

Computed properties:
Energy of formation ... -88.7 kJ/mol of formula units
Total DFT energy (no corrections) ... -29.01 eV for the cell shown
N(E_F) ... 0.697 states/eV/atom

a = 6.1197 Å, b = 6.4750 Å, c = 8.6833 Å
α = 90.00°, β = 90.00°, γ = 90.00°
With the nearest neighbours (Å) after each atom.
Space group Imma (No. 74)
Symmetry-distinct sites (fractional):
Sr 0.0000 0.2500 0.1282  6 In 3.61-3.64, 6 Li 3.62-3.73, 4 Sr 3.72-3.93
Li 0.2500 0.2500 0.7500  2 Li 3.06, 4 In 3.11
In 0.0000 0.0000 0.5000  4 Li 3.11, 2 In 3.24

***

Record 21
Sr3LiIn: relaxed, PBE-GGA.

Computed properties:
Energy of formation ... 26.9 kJ/mol of formula units
Total DFT energy (no corrections) ... -9.42 eV for the cell shown
N(E_F) ... 0.505 states/eV/atom

a = 6.4429 Å, b = 6.4429 Å, c = 6.4429 Å
α = 90.00°, β = 90.00°, γ = 90.00°
With the nearest neighbours (Å) after each atom.
Space group Pm-3m (No. 221)
Symmetry-distinct sites (fractional):
Sr 0.0000 0.0000 0.5000  2 In 3.22
Li 0.5000 0.5000 0.5000  12 Sr 4.56
In 0.0000 0.0000 0.0000  6 Sr 3.22

***

Record 22
SrLi2In: relaxed, PBE-GGA.

Computed properties:
Energy of formation ... -49.2 kJ/mol of formula units
Total DFT energy (no corrections) ... -8.76 eV for the cell shown
N(E_F) ... 0.788 states/eV/atom

a = 3.8439 Å, b = 4.8783 Å, c = 6.5196 Å
α = 90.00°, β = 106.31°, γ = 90.00°
With the nearest neighbours (Å) after each atom.
Space group Pm (No. 6)
Symmetry-distinct sites (fractional):
Sr 0.0000 0.0000 0.0000  3 Li 3.35-3.50, 4 In 3.47
Li 0.2966 0.5000 0.6129  2 In 2.98-3.00, 4 Li 3.22-3.26
Li 0.7179 0.0000 0.4651  2 In 2.79
In 0.6197 0.5000 0.2472  4 Li 2.79-3.00

***

Record 23
SrLiIn: relaxed, PBE-GGA.

Computed properties:
Energy of formation ... 69.6 kJ/mol of formula units
Total DFT energy (no corrections) ... -22.45 eV for the cell shown
N(E_F) ... 1.219 states/eV/atom

a = 7.7263 Å, b = 7.7263 Å, c = 7.7263 Å
α = 90.00°, β = 90.00°, γ = 90.00°
With the nearest neighbours (Å) after each atom.
Space group F-43m (No. 216)
Symmetry-distinct sites (fractional):
Sr 0.0000 0.0000 0.0000  4 In 3.35, 4 Li 3.35
Li 0.2500 0.2500 0.7500  4 Sr 3.35
In 0.2500 0.2500 0.2500  4 Sr 3.35

***

Record 24
Sr8Li2In: relaxed, PBE-GGA.

Computed properties:
Energy of formation ... -5.6 kJ/mol of formula units
Total DFT energy (no corrections) ... -40.16 eV for the cell shown
N(E_F) ... 0.932 states/eV/atom

a = 5.9119 Å, b = 10.0425 Å, c = 16.4467 Å
α = 90.00°, β = 90.00°, γ = 90.00°
With the nearest neighbours (Å) after each atom.
Space group Immm (No. 71)
Symmetry-distinct sites (fractional):
Sr 0.0000 0.0000 0.1323  2 In 3.67, 6 Sr 3.82-4.07
Sr 0.0000 0.2245 0.3438  3 Li 3.71-3.77, 1 In 3.78, 5 Sr 3.93-4.15
Sr 0.0000 0.3133 0.0000  2 Li 3.70, 7 Sr 3.75-3.93
Li 0.0000 0.5000 0.1939  10 Sr 3.70-4.11
In 0.0000 0.5000 0.5000  8 Sr 3.67-3.78